No. 1
12
Lattice="-0.817 8.729 -6.453 8.180 1.813 -4.658 -6.347 -7.525 2.802" Properties=species:S:1:pos:R:3 comment="AcTb4Dy PBE relaxed" relative_energy_ev_per_fu=0.00 delta_e_f_mev_per_atom=40.8 sg=P-1 pbc="T T T"
Tb -1.026 5.646 -6.043
Tb 5.315 1.180 -3.698
Dy 1.539 3.207 -6.626
Tb 5.034 4.023 -5.837
Tb -4.299 1.837 -4.611
Tb -4.018 -1.006 -2.471
Ac 4.735 6.971 -7.938
Tb 2.042 -2.629 -2.266
Tb -0.809 2.730 -3.875
Ac -3.719 -3.954 -0.371
Dy -0.524 -0.190 -1.683
Tb 1.825 0.287 -4.434

***

No. 2
3
Lattice="-3.071 1.510 -0.868 -0.934 -2.913 -1.763 -1.094 -2.045 7.495" Properties=species:S:1:pos:R:3 comment="CeGdDy PBE relaxed" relative_energy_ev_per_fu=0.01 delta_e_f_mev_per_atom=68.1 sg=I4mm pbc="T T T"
Dy -3.069 -1.646 0.811
Ce -2.066 -1.832 4.122
Gd -5.066 -3.418 4.795

***

No. 3
4
Lattice="4.789 0.001 -0.002 3.788 2.929 -0.002 1.107 0.378 5.027" Properties=species:S:1:pos:R:3 comment="ZrHgRu2 PBE relaxed" delta_e_f_mev_per_atom=103.3 sg=C2/m pbc="T T T"
Zr 2.421 0.827 1.256
Ru 8.528 2.914 0.101
Ru 4.891 1.671 2.406
Hg 7.263 2.481 3.767

***

No. 4
4
Lattice="5.378 0.000 0.000 2.689 4.658 0.000 2.689 1.553 4.391" Properties=species:S:1:pos:R:3 comment="PmLuMgPb PBE relaxed" delta_e_f_mev_per_atom=-252.8 sg=F-43m pbc="T T T"
Mg 0.000 0.000 0.000
Pm 2.689 1.553 1.098
Lu 8.067 4.658 3.293
Pb 5.378 3.105 2.196

***

No. 5
8
Lattice="-0.650 8.424 -0.997 -8.026 -0.287 2.805 -3.258 4.523 4.042" Properties=species:S:1:pos:R:3 comment="LaAgBi2 PBE relaxed" delta_e_f_mev_per_atom=-394.5 sg=I-42d pbc="T T T"
Bi -2.197 6.005 0.780
La -4.123 8.507 1.974
Bi -9.698 10.523 4.495
Bi -5.940 2.359 2.597
La 0.000 0.000 0.000
Bi -6.035 6.431 3.827
Ag -7.811 4.152 3.875
Ag -4.338 4.068 0.904

***

No. 6
24
Lattice="3.960 0.000 0.000 0.000 6.099 0.000 0.000 0.000 11.940" Properties=species:S:1:pos:R:3 comment="HoNpB4 PBE relaxed" delta_e_f_mev_per_atom=-223.2 sg=Pbam pbc="T T T"
Np 0.000 0.742 5.077
B 1.980 3.833 6.345
Ho 0.000 5.366 10.029
Ho 0.000 2.317 7.881
B 1.980 3.150 9.610
B 1.980 1.816 3.739
B 1.980 4.865 2.231
B 1.980 1.234 9.709
Np 0.000 2.307 11.047
B 1.980 0.100 8.299
B 1.980 3.839 11.279
B 1.980 5.999 3.641
B 1.980 2.949 2.329
B 1.980 5.316 0.375
Ho 0.000 0.733 1.911
Np 0.000 3.792 0.893
B 1.980 2.266 5.595
B 1.980 0.790 6.631
B 1.980 5.309 5.309
Ho 0.000 3.782 4.059
B 1.980 4.283 8.201
B 1.980 0.783 11.565
B 1.980 2.259 0.661
Np 0.000 5.357 6.863

***

No. 7
5
Lattice="3.837 0.000 0.000 0.000 3.837 0.000 0.000 0.000 3.765" Properties=species:S:1:pos:R:3 comment="CrNiHRh2 PBE relaxed" relative_energy_ev_per_fu=0.15 sg=P4/mmm pbc="T T T"
Cr 0.000 0.000 1.882
Rh 1.918 0.000 0.000
Rh 0.000 1.918 0.000
Ni 1.918 1.918 1.882
H 0.000 0.000 0.000

***

No. 8
12
Lattice="-3.446 -0.587 1.468 -0.907 -4.464 -3.915 4.332 -7.254 7.268" Properties=species:S:1:pos:R:3 comment="PaPdO PBE relaxed" relative_energy_ev_per_fu=0.17 sg=Pnma pbc="T T T"
O -0.577 -4.056 -0.529
Pa 2.439 -7.003 5.373
Pd 0.564 -11.263 4.163
Pd 1.259 -6.256 2.900
Pd -0.585 -1.042 0.658
Pd -1.280 -6.049 1.920
Pa -0.244 -8.681 3.299
O -1.290 -3.049 3.096
Pa 0.223 -3.624 1.521
O 1.269 -9.257 1.724
Pa -2.460 -5.302 -0.552
O 0.556 -8.250 5.349

***

No. 9
4
Lattice="4.976 0.275 0.000 1.273 4.819 0.000 -3.125 -2.547 2.931" Properties=species:S:1:pos:R:3 comment="CrCd2Ir PBE relaxed" relative_energy_ev_per_fu=0.79 delta_e_f_mev_per_atom=278.3 sg=I-4m2 pbc="T T T"
Cr 3.125 2.547 0.000
Cd 0.636 2.409 1.465
Ir 2.488 0.138 1.465
Cd 0.000 0.000 0.000

***

No. 10
5
Lattice="-2.597 -0.650 2.837 -2.843 -0.976 -2.826 4.355 -4.653 0.239" Properties=species:S:1:pos:R:3 comment="CaZn2GaRh PBE relaxed" relative_energy_ev_per_fu=0.00 delta_e_f_mev_per_atom=-399.8 sg=Imm2 pbc="T T T"
Ga -1.644 -4.410 0.166
Rh -0.799 -2.570 -1.320
Ca 1.452 -4.853 0.217
Zn 0.174 -0.580 0.026
Zn -0.658 -2.465 1.514

***

No. 11
20
Lattice="-1.139 -6.778 3.845 0.951 -4.809 -8.194 8.367 1.125 4.462" Properties=species:S:1:pos:R:3 comment="Nd6HoIn3 PBE relaxed" delta_e_f_mev_per_atom=-145.1 sg=Cmc2_1 pbc="T T T"
Nd 3.055 -3.973 -3.768
Nd 6.453 -6.608 -0.015
Nd 7.856 -3.545 0.738
Nd 2.062 -1.856 -1.005
In -0.187 -4.248 -0.608
In 1.275 -6.012 4.781
Nd 0.235 -7.444 -0.326
Nd 0.957 -6.491 -6.520
Nd 5.365 -5.058 3.069
Nd 7.136 -4.480 6.921
Nd 1.993 -4.845 1.771
Nd 4.529 -9.141 -2.046
In 7.956 -8.653 2.105
Ho 6.802 -0.621 2.278
Ho 1.755 -7.592 -3.440
In 3.372 -7.719 0.720
In 6.494 -6.889 -3.284
In 4.634 -3.776 -0.021
Nd 3.562 -1.848 2.458
Nd 6.522 -3.619 -2.792

***

No. 12
12
Lattice="6.733 -0.001 0.000 -3.366 5.831 0.000 -1.123 -1.945 6.237" Properties=species:S:1:pos:R:3 comment="Li3YU2S6 PBE relaxed" sg=C2/m energy_ev_per_atom=-6.471 pbc="T T T"
S 3.369 1.934 4.646
S 2.252 0.000 1.591
Li 1.122 1.942 3.119
Li 4.511 -0.015 3.119
S 0.003 0.005 4.641
Li -2.267 3.900 3.119
Y 0.000 0.000 0.000
U 3.367 1.943 0.000
S -0.008 3.885 4.646
U 0.000 3.887 0.000
S -1.126 1.950 1.591
S 2.241 3.880 1.596

***

| no. | calculated volume (A^3/atom) |
| --- | --- |
| 1 | 33.79 |
| 2 | 30.92 |
| 3 | 17.62 |
| 4 | 27.50 |
| 5 | 30.30 |
| 6 | 12.01 |
| 7 | 11.08 |
| 8 | 21.15 |
| 9 | 17.31 |
| 10 | 18.38 |
| 11 | 33.31 |
| 12 | 20.40 |